# 1
Computed, not measured: PrNd6Tl4 after structural relaxation at the GGA-PBE level of DFT.

Cell and atoms, written as CIF:
```
data_PrNd6Tl4
_cell_length_a 8.0422
_cell_length_b 8.0422
_cell_length_c 12.0443
_cell_angle_alpha 90.00
_cell_angle_beta 90.00
_cell_angle_gamma 90.00
_symmetry_space_group_name_H-M 'I -4 2 m'
_symmetry_Int_Tables_number 121
_symmetry_space_group_name_Hall 'I -4 2'
loop_
_atom_site_label
_atom_site_fract_x
_atom_site_fract_y
_atom_site_fract_z
Pr1 0.0000 0.0000 0.0000
Nd1 0.0000 0.5000 0.0000
Nd2 0.1871 0.1871 0.7162
Tl1 0.1661 0.1661 0.4318
```

Calculated values
- electronic total energy (Ry per atom) = -0.292
- calculated formation energy (eV/atom) = -0.084

# 2
Computed, not measured: PrNd9Tl2 after structural relaxation at the GGA-PBE level of DFT.

Cell and atoms, written as CIF:
```
data_PrNd9Tl2
_cell_length_a 5.0272
_cell_length_b 5.0272
_cell_length_c 15.5111
_cell_angle_alpha 90.00
_cell_angle_beta 90.00
_cell_angle_gamma 90.00
_symmetry_space_group_name_H-M 'P 4/m m m'
_symmetry_Int_Tables_number 123
_symmetry_space_group_name_Hall '-P 4 2'
loop_
_atom_site_label
_atom_site_fract_x
_atom_site_fract_y
_atom_site_fract_z
Pr1 0.0000 0.0000 0.0000
Nd1 0.0000 0.5000 0.1750
Nd2 0.0000 0.5000 0.5000
Nd3 0.5000 0.5000 0.0000
Nd4 0.5000 0.5000 0.3398
Tl1 0.0000 0.0000 0.3391
```

Calculated values
- electronic total energy (Ry per atom) = -0.330
- calculated formation energy (eV/atom) = -0.123

# 3
Computed, not measured: Pr7Nd12Tl after structural relaxation at the GGA-PBE level of DFT.

Cell and atoms, written as CIF:
```
data_Pr7Nd12Tl
_cell_length_a 12.4939
_cell_length_b 12.4939
_cell_length_c 15.6945
_cell_angle_alpha 90.00
_cell_angle_beta 90.00
_cell_angle_gamma 120.00
_symmetry_space_group_name_H-M 'R -3'
_symmetry_Int_Tables_number 148
_symmetry_space_group_name_Hall '-R 3'
loop_
_atom_site_label
_atom_site_fract_x
_atom_site_fract_y
_atom_site_fract_z
Pr1 0.0000 0.0000 0.0000
Pr2 0.0541 0.1835 0.2990
Nd1 0.0343 0.4495 0.2076
Nd2 0.0562 0.5840 0.5869
Tl1 0.0000 0.0000 0.5000
```

Calculated values
- electronic total energy (Ry per atom) = -0.332
- calculated formation energy (eV/atom) = 0.131

# 4
Computed, not measured: PrNd2Tl9 after structural relaxation at the GGA-PBE level of DFT.

Cell and atoms, written as CIF:
```
data_PrNd2Tl9
_cell_length_a 4.8429
_cell_length_b 4.8429
_cell_length_c 14.5245
_cell_angle_alpha 90.00
_cell_angle_beta 90.00
_cell_angle_gamma 90.00
_symmetry_space_group_name_H-M 'P 4/m m m'
_symmetry_Int_Tables_number 123
_symmetry_space_group_name_Hall '-P 4 2'
loop_
_atom_site_label
_atom_site_fract_x
_atom_site_fract_y
_atom_site_fract_z
Pr1 0.0000 0.0000 0.0000
Nd1 0.0000 0.0000 0.3338
Tl1 0.0000 0.5000 0.1676
Tl2 0.0000 0.5000 0.5000
Tl3 0.5000 0.5000 0.0000
Tl4 0.5000 0.5000 0.3337
```

Calculated values
- electronic total energy (Ry per atom) = -0.242
- calculated formation energy (eV/atom) = -0.322

# 5
Computed, not measured: Pr2NdTl9 after structural relaxation at the GGA-PBE level of DFT.

Cell and atoms, written as CIF:
```
data_Pr2NdTl9
_cell_length_a 4.8492
_cell_length_b 4.8492
_cell_length_c 14.5472
_cell_angle_alpha 90.00
_cell_angle_beta 90.00
_cell_angle_gamma 90.00
_symmetry_space_group_name_H-M 'P 4/m m m'
_symmetry_Int_Tables_number 123
_symmetry_space_group_name_Hall '-P 4 2'
loop_
_atom_site_label
_atom_site_fract_x
_atom_site_fract_y
_atom_site_fract_z
Pr1 0.0000 0.0000 0.1672
Nd1 0.0000 0.0000 0.5000
Tl1 0.0000 0.5000 0.0000
Tl2 0.0000 0.5000 0.3342
Tl3 0.5000 0.5000 0.1669
Tl4 0.5000 0.5000 0.5000
```

Calculated values
- electronic total energy (Ry per atom) = -0.242
- calculated formation energy (eV/atom) = -0.325

# 6
Computed, not measured: PrNd2Tl4 after structural relaxation at the GGA-PBE level of DFT.

Cell and atoms, written as CIF:
```
data_PrNd2Tl4
_cell_length_a 7.1625
_cell_length_b 7.8054
_cell_length_c 8.7869
_cell_angle_alpha 63.66
_cell_angle_beta 89.78
_cell_angle_gamma 89.97
_symmetry_space_group_name_H-M 'P 1'
_symmetry_Int_Tables_number 1
_symmetry_space_group_name_Hall 'P 1'
loop_
_atom_site_label
_atom_site_fract_x
_atom_site_fract_y
_atom_site_fract_z
Pr1 0.0000 0.0000 0.0000
Pr2 0.1150 0.5160 0.9684
Nd1 0.1301 0.7606 0.4775
Nd2 0.4978 0.2876 0.4253
Nd3 0.6131 0.7694 0.4615
Nd4 0.6325 0.5234 0.9517
Tl1 0.3394 0.3355 0.7446
Tl2 0.3404 0.9194 0.7440
Tl3 0.3818 0.1258 0.1589
Tl4 0.3832 0.7162 0.1576
Tl5 0.8333 0.9501 0.6833
Tl6 0.8350 0.3663 0.6822
Tl7 0.8784 0.5710 0.2709
Tl8 0.8791 0.1578 0.2717
```

Calculated values
- electronic total energy (Ry per atom) = -0.268
- calculated formation energy (eV/atom) = -0.251

# 7
Computed, not measured: Pr2Nd5Tl after structural relaxation at the GGA-PBE level of DFT.

Cell and atoms, written as CIF:
```
data_Pr2Nd5Tl
_cell_length_a 3.5988
_cell_length_b 9.9930
_cell_length_c 15.4110
_cell_angle_alpha 90.00
_cell_angle_beta 90.00
_cell_angle_gamma 90.00
_symmetry_space_group_name_H-M 'I m m m'
_symmetry_Int_Tables_number 71
_symmetry_space_group_name_Hall '-I 2 2'
loop_
_atom_site_label
_atom_site_fract_x
_atom_site_fract_y
_atom_site_fract_z
Pr1 0.0000 0.0000 0.2226
Nd1 0.0000 0.0000 0.0000
Nd2 0.0000 0.2308 0.3839
Tl1 0.0000 0.5000 0.0000
```

Calculated values
- electronic total energy (Ry per atom) = -0.328
- calculated formation energy (eV/atom) = 0.014

# 8
Computed, not measured: Pr4Nd3Tl2 after structural relaxation at the GGA-PBE level of DFT.

Cell and atoms, written as CIF:
```
data_Pr4Nd3Tl2
_cell_length_a 13.4054
_cell_length_b 13.9306
_cell_length_c 6.6203
_cell_angle_alpha 90.00
_cell_angle_beta 95.85
_cell_angle_gamma 90.00
_symmetry_space_group_name_H-M 'C 1 2/c 1'
_symmetry_Int_Tables_number 15
_symmetry_space_group_name_Hall '-C 2yc'
loop_
_atom_site_label
_atom_site_fract_x
_atom_site_fract_y
_atom_site_fract_z
Pr1 0.1060 0.2126 0.0778
Pr2 0.1516 0.3274 0.5822
Nd1 0.0000 0.4703 0.2500
Nd2 0.1129 0.0635 0.5950
Tl1 0.2045 0.4289 0.0453
```

Calculated values
- electronic total energy (Ry per atom) = -0.319
- calculated formation energy (eV/atom) = -0.098

# 9
Computed, not measured: PrNd12Tl6 after structural relaxation at the GGA-PBE level of DFT.

Cell and atoms, written as CIF:
```
data_PrNd12Tl6
_cell_length_a 14.0684
_cell_length_b 14.0684
_cell_length_c 11.5961
_cell_angle_alpha 90.00
_cell_angle_beta 90.00
_cell_angle_gamma 120.00
_symmetry_space_group_name_H-M 'R -3 m'
_symmetry_Int_Tables_number 166
_symmetry_space_group_name_Hall '-R 3 2"'
loop_
_atom_site_label
_atom_site_fract_x
_atom_site_fract_y
_atom_site_fract_z
Pr1 0.0000 0.0000 0.0000
Nd1 0.0000 0.3905 0.5000
Nd2 0.0876 0.1752 0.3434
Tl1 0.0235 0.5117 0.2554
```

Calculated values
- electronic total energy (Ry per atom) = -0.296
- calculated formation energy (eV/atom) = -0.016

# 10
Computed, not measured: PrNd4Tl5 after structural relaxation at the GGA-PBE level of DFT.

Cell and atoms, written as CIF:
```
data_PrNd4Tl5
_cell_length_a 3.9016
_cell_length_b 3.9016
_cell_length_c 19.6416
_cell_angle_alpha 90.00
_cell_angle_beta 90.00
_cell_angle_gamma 90.00
_symmetry_space_group_name_H-M 'P 4/m m m'
_symmetry_Int_Tables_number 123
_symmetry_space_group_name_Hall '-P 4 2'
loop_
_atom_site_label
_atom_site_fract_x
_atom_site_fract_y
_atom_site_fract_z
Pr1 0.0000 0.0000 0.0000
Nd1 0.0000 0.0000 0.2012
Nd2 0.0000 0.0000 0.4004
Tl1 0.5000 0.5000 0.1017
Tl2 0.5000 0.5000 0.3009
Tl3 0.5000 0.5000 0.5000
```

Calculated values
- electronic total energy (Ry per atom) = -0.291
- calculated formation energy (eV/atom) = -0.392

# 11
Computed, not measured: Pr2Nd2Tl7 after structural relaxation at the GGA-PBE level of DFT.

Cell and atoms, written as CIF:
```
data_Pr2Nd2Tl7
_cell_length_a 8.9013
_cell_length_b 11.1576
_cell_length_c 7.6250
_cell_angle_alpha 90.00
_cell_angle_beta 90.00
_cell_angle_gamma 90.00
_symmetry_space_group_name_H-M 'C m m m'
_symmetry_Int_Tables_number 65
_symmetry_space_group_name_Hall '-C 2 2'
loop_
_atom_site_label
_atom_site_fract_x
_atom_site_fract_y
_atom_site_fract_z
Pr1 0.1848 0.0000 0.0000
Nd1 0.0000 0.2990 0.5000
Tl1 0.0000 0.0000 0.5000
Tl2 0.0000 0.5000 0.2036
Tl3 0.2500 0.2500 0.2068
```

Calculated values
- electronic total energy (Ry per atom) = -0.237
- calculated formation energy (eV/atom) = 0.015

# 12
Computed, not measured: Pr15Nd4Tl after structural relaxation at the GGA-PBE level of DFT.

Cell and atoms, written as CIF:
```
data_Pr15Nd4Tl
_cell_length_a 5.1752
_cell_length_b 5.1752
_cell_length_c 26.2980
_cell_angle_alpha 90.00
_cell_angle_beta 90.00
_cell_angle_gamma 90.00
_symmetry_space_group_name_H-M 'P 4/m m m'
_symmetry_Int_Tables_number 123
_symmetry_space_group_name_Hall '-P 4 2'
loop_
_atom_site_label
_atom_site_fract_x
_atom_site_fract_y
_atom_site_fract_z
Pr1 0.0000 0.0000 0.0000
Pr2 0.0000 0.0000 0.1962
Pr3 0.0000 0.0000 0.3986
Pr4 0.0000 0.5000 0.0959
Pr5 0.0000 0.5000 0.2977
Pr6 0.0000 0.5000 0.5000
Nd1 0.5000 0.5000 0.1971
Nd2 0.5000 0.5000 0.3993
Tl1 0.5000 0.5000 0.0000
```

Calculated values
- electronic total energy (Ry per atom) = -0.344
- calculated formation energy (eV/atom) = -0.025

# 13
Computed, not measured: Pr3NdTl4 after structural relaxation at the GGA-PBE level of DFT.

Cell and atoms, written as CIF:
```
data_Pr3NdTl4
_cell_length_a 3.7597
_cell_length_b 7.4531
_cell_length_c 18.7507
_cell_angle_alpha 90.00
_cell_angle_beta 90.00
_cell_angle_gamma 90.00
_symmetry_space_group_name_H-M 'I m m m'
_symmetry_Int_Tables_number 71
_symmetry_space_group_name_Hall '-I 2 2'
loop_
_atom_site_label
_atom_site_fract_x
_atom_site_fract_y
_atom_site_fract_z
Pr1 0.0000 0.0000 0.0000
Pr2 0.0000 0.5000 0.2145
Nd1 0.0000 0.0000 0.5000
Tl1 0.0000 0.2904 0.3726
```

Calculated values
- electronic total energy (Ry per atom) = -0.281
- calculated formation energy (eV/atom) = -0.253

# 14
Computed, not measured: PrNd3Tl after structural relaxation at the GGA-PBE level of DFT.

Cell and atoms, written as CIF:
```
data_PrNd3Tl
_cell_length_a 4.9568
_cell_length_b 26.2775
_cell_length_c 4.9535
_cell_angle_alpha 90.00
_cell_angle_beta 90.00
_cell_angle_gamma 90.00
_symmetry_space_group_name_H-M 'C m c m'
_symmetry_Int_Tables_number 63
_symmetry_space_group_name_Hall '-C 2c 2'
loop_
_atom_site_label
_atom_site_fract_x
_atom_site_fract_y
_atom_site_fract_z
Pr1 0.0000 0.1512 0.2500
Nd1 0.0000 0.0527 0.7500
Nd2 0.0000 0.2496 0.7500
Nd3 0.0000 0.4479 0.7500
Tl1 0.0000 0.3469 0.2500
```

Calculated values
- electronic total energy (Ry per atom) = -0.325
- calculated formation energy (eV/atom) = -0.137

# 15
Computed, not measured: Pr4NdTl2 after structural relaxation at the GGA-PBE level of DFT.

Cell and atoms, written as CIF:
```
data_Pr4NdTl2
_cell_length_a 8.9281
_cell_length_b 10.5942
_cell_length_c 5.0210
_cell_angle_alpha 90.00
_cell_angle_beta 90.00
_cell_angle_gamma 90.00
_symmetry_space_group_name_H-M 'C m m m'
_symmetry_Int_Tables_number 65
_symmetry_space_group_name_Hall '-C 2 2'
loop_
_atom_site_label
_atom_site_fract_x
_atom_site_fract_y
_atom_site_fract_z
Pr1 0.2070 0.0000 0.0000
Pr2 0.2500 0.2500 0.5000
Nd1 0.0000 0.5000 0.5000
Tl1 0.0000 0.2809 0.0000
```

Calculated values
- electronic total energy (Ry per atom) = -0.311
- calculated formation energy (eV/atom) = -0.141

# 16
Computed, not measured: Pr3Nd4Tl4 after structural relaxation at the GGA-PBE level of DFT.

Cell and atoms, written as CIF:
```
data_Pr3Nd4Tl4
_cell_length_a 3.8159
_cell_length_b 9.6685
_cell_length_c 19.5659
_cell_angle_alpha 90.00
_cell_angle_beta 90.00
_cell_angle_gamma 90.00
_symmetry_space_group_name_H-M 'I m m m'
_symmetry_Int_Tables_number 71
_symmetry_space_group_name_Hall '-I 2 2'
loop_
_atom_site_label
_atom_site_fract_x
_atom_site_fract_y
_atom_site_fract_z
Pr1 0.0000 0.0000 0.0000
Pr2 0.0000 0.5000 0.0962
Nd1 0.0000 0.3187 0.3363
Tl1 0.0000 0.0000 0.2702
Tl2 0.0000 0.2205 0.5000
```

Calculated values
- electronic total energy (Ry per atom) = -0.305
- calculated formation energy (eV/atom) = -0.254

# 17
Computed, not measured: Pr7Nd3Tl after structural relaxation at the GGA-PBE level of DFT.

Cell and atoms, written as CIF:
```
data_Pr7Nd3Tl
_cell_length_a 7.2156
_cell_length_b 7.2156
_cell_length_c 8.8209
_cell_angle_alpha 90.00
_cell_angle_beta 90.00
_cell_angle_gamma 120.00
_symmetry_space_group_name_H-M 'P 3 m 1'
_symmetry_Int_Tables_number 156
_symmetry_space_group_name_Hall 'P 3 -2"'
loop_
_atom_site_label
_atom_site_fract_x
_atom_site_fract_y
_atom_site_fract_z
Pr1 0.0000 0.0000 0.0000
Pr2 0.1647 0.3294 0.6621
Pr3 0.5024 0.0047 0.9877
Nd1 0.3332 0.1666 0.3301
Tl1 0.6667 0.3333 0.6555
```

Calculated values
- electronic total energy (Ry per atom) = -0.327
- calculated formation energy (eV/atom) = 0.107

# 18
Computed, not measured: Pr2NdTl4 after structural relaxation at the GGA-PBE level of DFT.

Cell and atoms, written as CIF:
```
data_Pr2NdTl4
_cell_length_a 4.9266
_cell_length_b 4.9266
_cell_length_c 32.2429
_cell_angle_alpha 90.00
_cell_angle_beta 90.00
_cell_angle_gamma 120.00
_symmetry_space_group_name_H-M 'R -3 m'
_symmetry_Int_Tables_number 166
_symmetry_space_group_name_Hall '-R 3 2"'
loop_
_atom_site_label
_atom_site_fract_x
_atom_site_fract_y
_atom_site_fract_z
Pr1 0.0000 0.0000 0.1286
Nd1 0.0000 0.0000 0.0000
Tl1 0.0000 0.0000 0.2474
Tl2 0.0000 0.0000 0.3830
```

Calculated values
- electronic total energy (Ry per atom) = -0.262
- calculated formation energy (eV/atom) = -0.165

# 19
Computed, not measured: Pr7NdTl2 after structural relaxation at the GGA-PBE level of DFT.

Cell and atoms, written as CIF:
```
data_Pr7NdTl2
_cell_length_a 9.4643
_cell_length_b 16.1447
_cell_length_c 5.5121
_cell_angle_alpha 90.00
_cell_angle_beta 90.00
_cell_angle_gamma 90.00
_symmetry_space_group_name_H-M 'C m m m'
_symmetry_Int_Tables_number 65
_symmetry_space_group_name_Hall '-C 2 2'
loop_
_atom_site_label
_atom_site_fract_x
_atom_site_fract_y
_atom_site_fract_z
Pr1 0.0000 0.0000 0.0000
Pr2 0.0000 0.2751 0.5000
Pr3 0.1817 0.3798 0.0000
Nd1 0.0000 0.5000 0.5000
Tl1 0.0000 0.1940 0.0000
```

Calculated values
- electronic total energy (Ry per atom) = -0.293
- calculated formation energy (eV/atom) = 0.312

# 20
Computed, not measured: Pr7Nd2Tl2 after structural relaxation at the GGA-PBE level of DFT.

Cell and atoms, written as CIF:
```
data_Pr7Nd2Tl2
_cell_length_a 9.1497
_cell_length_b 9.9150
_cell_length_c 8.7168
_cell_angle_alpha 90.00
_cell_angle_beta 104.32
_cell_angle_gamma 90.00
_symmetry_space_group_name_H-M 'C 1 2/m 1'
_symmetry_Int_Tables_number 12
_symmetry_space_group_name_Hall '-C 2y'
loop_
_atom_site_label
_atom_site_fract_x
_atom_site_fract_y
_atom_site_fract_z
Pr1 0.0000 0.0000 0.0000
Pr2 0.1830 0.2955 0.1715
Pr3 0.1889 0.5000 0.5177
Nd1 0.0000 0.1795 0.5000
Tl1 0.1153 0.5000 0.8547
```

Calculated values
- electronic total energy (Ry per atom) = -0.319
- calculated formation energy (eV/atom) = -0.006

| no. | DOS at the Fermi energy (states/eV/f.u.) |
| --- | --- |
| 1 | 13.540 |
| 2 | 15.019 |
| 3 | 33.139 |
| 4 | 5.152 |
| 5 | 5.258 |
| 6 | 7.128 |
| 7 | 9.637 |
| 8 | 12.003 |
| 9 | 30.761 |
| 10 | 8.241 |
| 11 | 8.596 |
| 12 | 27.805 |
| 13 | 7.677 |
| 14 | 6.999 |
| 15 | 7.837 |
| 16 | 11.878 |
| 17 | 16.426 |
| 18 | 5.079 |
| 19 | 18.667 |
| 20 | 16.644 |